## TcIr2Os (PBE)

Data for a geometry-optimized TcIr2Os structure.

Summary:
DFT total energy = -9.2908 eV/atom
excess energy over the best structure of this formula in the dataset = 65.6 kJ/mol of atoms
energy relative to the elements = 539 meV/atom
space-group type = No. 216
total magnetic moment = 0.00 μB per cell

Cell: 4.383 4.383 4.383 Å, 60.00 60.00 60.00°
Fractional positions:
Ir  0.250  0.250  0.250
Os  0.500  0.500  0.500
Ir  0.000  0.000  0.000
Tc  0.750  0.750  0.750


## TcIr2Os (PBE)

Data for a geometry-optimized TcIr2Os structure.

Summary:
DFT total energy = -9.8865 eV/atom
excess energy over the best structure of this formula in the dataset = 8.2 kJ/mol of atoms
energy relative to the elements = -57 meV/atom
space-group type = No. 12
total magnetic moment = 0.00 μB per cell

Cell: 2.719 2.719 8.695 Å, 71.84 108.16 90.05°
Fractional positions:
Tc  0.500  0.250  0.125
Ir  0.748  0.002  0.874
Os  0.000  0.750  0.625
Ir  0.252  0.498  0.376